[1]
FeBrCl2 after structural relaxation. Source: Alexandria via LeMat-Bulk, functional PBE-GGA.

Unit cell a=7.478 b=7.478 c=6.533 alpha=115.73 beta=115.73 gamma=68.22
Sites, in units of the cell vectors:
1 Fe 0.080 0.920 0.750
2 Fe 0.920 0.080 0.250
3 Br 0.354 0.646 0.750
4 Br 0.646 0.354 0.250
5 Cl 0.113 0.185 0.112
6 Cl 0.185 0.113 0.612
7 Cl 0.815 0.887 0.388
8 Cl 0.887 0.815 0.888

Density: 2.376 g cm⁻³
SG: C2/c
Energy above the lowest structure with this stoichiometry: 0.000 eV/atom
Final energy: -4.090 eV/atom

[2]
Pr8AgTe4Se3 after structural relaxation. Source: Alexandria via LeMat-Bulk, functional PBE-GGA.

Unit cell a=8.779 b=8.779 c=8.894 alpha=119.57 beta=119.57 gamma=60.01
Sites, in units of the cell vectors:
1 Pr 0.239 0.747 0.731
2 Pr 0.240 0.240 0.721
3 Pr 0.253 0.761 0.269
4 Pr 0.254 0.254 0.270
5 Pr 0.746 0.746 0.730
6 Pr 0.747 0.239 0.731
7 Pr 0.760 0.760 0.279
8 Pr 0.761 0.253 0.269
9 Ag 0.500 0.500 0.500
10 Te 0.000 0.000 0.000
11 Te 0.000 0.500 0.000
12 Te 0.500 0.000 0.000
13 Te 0.500 0.500 0.000
14 Se 0.000 0.000 0.500
15 Se 0.000 0.500 0.500
16 Se 0.500 0.000 0.500

Density: 6.748 g cm⁻³
SG: C2/m
Final energy: -5.462 eV/atom

| no. | formation energy (no corrections) (kJ/mol of atoms) |
| --- | --- |
| 1 | -61.1 |
| 2 | -140.4 |